A | ## Ho4AlCo (PBE)

Data for a relaxed structure of Ho4AlCo.

a = 9.358 Å, b = 9.358 Å, c = 9.358 Å
α = 60.00°, β = 60.00°, γ = 60.00°
Fractional coordinates of all 24 atoms:
1 Ho 0.058 0.058 0.442
2 Ho 0.058 0.442 0.058
3 Ho 0.058 0.442 0.442
4 Ho 0.188 0.188 0.812
5 Ho 0.188 0.812 0.188
6 Ho 0.188 0.812 0.812
7 Ho 0.203 0.599 0.599
8 Ho 0.442 0.058 0.058
9 Ho 0.442 0.058 0.442
10 Ho 0.442 0.442 0.058
11 Ho 0.599 0.203 0.599
12 Ho 0.599 0.599 0.203
13 Ho 0.599 0.599 0.599
14 Ho 0.812 0.188 0.188
15 Ho 0.812 0.188 0.812
16 Ho 0.812 0.812 0.188
17 Al 0.518 0.827 0.827
18 Al 0.827 0.518 0.827
19 Al 0.827 0.827 0.518
20 Al 0.827 0.827 0.827
21 Co 0.391 0.391 0.391
22 Co 0.391 0.391 0.828
23 Co 0.391 0.828 0.391
24 Co 0.828 0.391 0.391

Summary:
DOS(E_F) = 0.700 states/eV per atom
crystal system = cubic
space-group type = F-43m, No. 216


B | ## Ho4AlCo (PBE)

Data for a relaxed structure of Ho4AlCo.

a = 7.601 Å, b = 7.601 Å, c = 5.908 Å
α = 99.64°, β = 99.64°, γ = 111.49°
Fractional coordinates of all 12 atoms:
1 Ho 0.057 0.725 0.955
2 Ho 0.210 0.369 0.607
3 Ho 0.275 0.943 0.545
4 Ho 0.369 0.210 0.107
5 Ho 0.631 0.790 0.893
6 Ho 0.725 0.057 0.455
7 Ho 0.790 0.631 0.393
8 Ho 0.943 0.275 0.045
9 Al 0.376 0.624 0.250
10 Al 0.624 0.376 0.750
11 Co 0.001 0.999 0.750
12 Co 0.999 0.001 0.250

Summary:
DOS(E_F) = 0.891 states/eV per atom
crystal system = monoclinic
space-group type = C2/c, No. 15


Of them, B has the lowest stability.


A | ## HoAl3Co (PBE)

Data for a relaxed structure of HoAl3Co.

a = 8.158 Å, b = 4.014 Å, c = 10.634 Å
α = 90.00°, β = 90.00°, γ = 90.00°
Fractional coordinates of all 20 atoms:
1 Ho 0.191 0.250 0.009
2 Ho 0.309 0.750 0.509
3 Ho 0.691 0.250 0.491
4 Ho 0.809 0.750 0.991
5 Al 0.049 0.250 0.582
6 Al 0.107 0.750 0.780
7 Al 0.151 0.750 0.224
8 Al 0.349 0.250 0.724
9 Al 0.393 0.250 0.280
10 Al 0.451 0.750 0.082
11 Al 0.549 0.250 0.918
12 Al 0.607 0.750 0.720
13 Al 0.651 0.750 0.276
14 Al 0.849 0.250 0.776
15 Al 0.893 0.250 0.220
16 Al 0.951 0.750 0.418
17 Co 0.119 0.250 0.358
18 Co 0.381 0.750 0.858
19 Co 0.619 0.250 0.142
20 Co 0.881 0.750 0.642

Summary:
DOS(E_F) = 0.365 states/eV per atom
crystal system = orthorhombic
space-group type = Pnma, No. 62


B | ## HoAl3Co (PBE)

Data for a relaxed structure of HoAl3Co.

a = 4.500 Å, b = 4.500 Å, c = 4.500 Å
α = 90.00°, β = 90.00°, γ = 90.00°
Fractional coordinates of all 5 atoms:
1 Ho 0.000 0.000 0.000
2 Al 0.000 0.500 0.500
3 Al 0.500 0.000 0.500
4 Al 0.500 0.500 0.000
5 Co 0.500 0.500 0.500

Summary:
DOS(E_F) = 0.678 states/eV per atom
crystal system = cubic
space-group type = Pm-3m, No. 221


Of them, B has the lowest stability.


A | ## Al2CoI (PBE)

Data for a relaxed structure of Al2CoI.

a = 4.753 Å, b = 4.753 Å, c = 4.753 Å
α = 60.00°, β = 60.00°, γ = 60.00°
Fractional coordinates of all 4 atoms:
1 Al 0.250 0.250 0.250
2 Al 0.750 0.750 0.750
3 Co 0.000 0.000 0.000
4 I 0.500 0.500 0.500

Summary:
DOS(E_F) = 1.094 states/eV per atom
crystal system = cubic
space-group type = Fm-3m, No. 225


B | ## Al2CoI (PBE)

Data for a relaxed structure of Al2CoI.

a = 8.118 Å, b = 8.118 Å, c = 8.118 Å
α = 141.97°, β = 141.97°, γ = 54.88°
Fractional coordinates of all 8 atoms:
1 Al 0.375 0.227 0.352
2 Al 0.773 0.125 0.148
3 Al 0.875 0.023 0.648
4 Al 0.977 0.625 0.852
5 Co 0.000 0.000 0.000
6 Co 0.750 0.250 0.500
7 I 0.250 0.750 0.500
8 I 0.500 0.500 0.000

Summary:
DOS(E_F) = 0.120 states/eV per atom
crystal system = tetragonal
space-group type = I-42d, No. 122


Of them, A has the lowest stability.


A | ## La2AlCoI (PBE)

Data for a relaxed structure of La2AlCoI.

a = 5.470 Å, b = 5.470 Å, c = 4.596 Å
α = 90.00°, β = 90.00°, γ = 90.00°
Fractional coordinates of all 5 atoms:
1 La 0.000 0.500 0.000
2 La 0.500 0.000 0.000
3 Al 0.000 0.000 0.500
4 Co 0.000 0.000 0.000
5 I 0.500 0.500 0.500

Summary:
DOS(E_F) = 1.072 states/eV per atom
crystal system = tetragonal
space-group type = P4/mmm, No. 123


B | ## La2AlCoI (PBE)

Data for a relaxed structure of La2AlCoI.

a = 5.876 Å, b = 5.876 Å, c = 4.327 Å
α = 90.00°, β = 90.00°, γ = 90.00°
Fractional coordinates of all 5 atoms:
1 La 0.000 0.500 0.000
2 La 0.500 0.000 0.000
3 Al 0.000 0.000 0.000
4 Co 0.000 0.000 0.500
5 I 0.500 0.500 0.500

Summary:
DOS(E_F) = 1.182 states/eV per atom
crystal system = tetragonal
space-group type = P4/mmm, No. 123


Of them, B has the lowest stability.


A | ## AlCoI2N (PBE)

Data for a relaxed structure of AlCoI2N.

a = 5.520 Å, b = 5.520 Å, c = 3.531 Å
α = 90.00°, β = 90.00°, γ = 90.00°
Fractional coordinates of all 5 atoms:
1 Al 0.000 0.000 0.000
2 Co 0.500 0.500 0.500
3 I 0.000 0.500 0.500
4 I 0.500 0.000 0.500
5 N 0.500 0.500 0.000

Summary:
DOS(E_F) = 0.679 states/eV per atom
crystal system = tetragonal
space-group type = P4/mmm, No. 123


B | ## AlCoI2N (PBE)

Data for a relaxed structure of AlCoI2N.

a = 5.674 Å, b = 5.674 Å, c = 3.540 Å
α = 90.00°, β = 90.00°, γ = 90.00°
Fractional coordinates of all 5 atoms:
1 Al 0.000 0.000 0.000
2 Co 0.500 0.500 0.500
3 I 0.000 0.500 0.000
4 I 0.500 0.000 0.000
5 N 0.000 0.000 0.500

Summary:
DOS(E_F) = 1.198 states/eV per atom
crystal system = tetragonal
space-group type = P4/mmm, No. 123


Of them, B has the lowest stability.